A plane-wave DFT calculation with meta-GGA SCAN was carried out for a PBEsol-optimized structure of Zr2TiSi2.

Properties
Total magnetization = 0.00 μB/f.u.
E = -101.82 eV/f.u.
Formation energy without anion corrections = -0.87 eV/atom
Volume = 172 Å³ per cell
ρ = 5.53 g cm⁻³

Lattice parameters (Å, degrees): 3.708 6.811 6.811 90.00 90.00 90.00
Fractional positions:
Si 0.000 0.626 0.126
Ti 0.000 0.000 0.000
Zr 0.500 0.326 0.174
Si 0.000 0.374 0.874
Zr 0.500 0.174 0.674
Ti 0.000 0.500 0.500
Si 0.000 0.874 0.626
Zr 0.500 0.674 0.826
Zr 0.500 0.826 0.326
Si 0.000 0.126 0.374

A plane-wave DFT calculation with meta-GGA SCAN was carried out for a PBEsol-optimized structure of TlSi2.

Properties
Total magnetization = 0.00 μB/f.u.
Energy above the lowest structure with this stoichiometry = 0.71 eV/f.u.
E = -90.45 eV/f.u.
Formation energy without anion corrections = 0.65 eV/atom
Volume = 120 Å³ per cell
ρ = 7.23 g cm⁻³

Lattice parameters (Å, degrees): 4.631 4.631 6.444 90.00 90.00 120.00
Fractional positions:
Si 0.333 0.667 0.948
Si 0.667 0.333 0.448
Si 0.667 0.333 0.052
Si 0.333 0.667 0.552
Tl 0.000 0.000 0.250
Tl 0.000 0.000 0.750

formation energy without anion corrections of number 2 (TlSi2)?
0.65 eV/atom

What is the formula in the first record?
Zr2TiSi2